The following is a SCAN calculation of a PBEsol-optimized structure of ReNi2Pb, from the Alexandria database.

Geometry as extended XYZ:
```
4
Lattice="-0.986 -1.326 -3.138 0.568 -3.717 1.392 -3.809 -0.116 1.246" Properties=species:S:1:pos:R:3 pbc="T T T"
Pb -2.113 -2.579 -0.250
Re -0.493 -0.663 -1.569
Ni -1.904 -0.058 0.623
Ni 0.284 -1.858 0.696
```

Computed properties:
- theoretical density (g cm⁻³) = 14.9
- symmetry = P4/mmm (123)
- energy (eV for the cell shown) = -176.62